1.
Here is a relaxed USnSe2O crystal from the Alexandria database. Energies are from PBE.

Unit cell a=4.0191 b=4.0191 c=13.8462 alpha=90.00 beta=90.00 gamma=90.00
With the nearest neighbours (Å) after each atom.
Fractional coordinates of all 10 atoms:
U 0.2500 0.2500 0.0874  4 O 2.35
U 0.7500 0.7500 0.9126  4 O 2.35
Sn 0.2500 0.2500 0.6099  6 Se 2.84-3.10
Sn 0.7500 0.7500 0.3901  6 Se 2.84-3.10
Se 0.2500 0.2500 0.3856  5 Sn 2.84-3.10
Se 0.2500 0.2500 0.8180  1 Sn 2.88, 4 U 3.13, 4 O 3.22
Se 0.7500 0.7500 0.1820  1 Sn 2.88, 4 U 3.13, 4 O 3.22
Se 0.7500 0.7500 0.6144  5 Sn 2.84-3.10
O 0.2500 0.7500 0.0000  4 U 2.35
O 0.7500 0.2500 0.0000  4 U 2.35

The calculation puts the total moment at 4.44 μB/cell. Its raw total energy is -6.9065 eV per atom.



2.
Here is a relaxed Ce2BRu3 crystal from the Alexandria database. Energies are from PBE.

Unit cell a=5.5861 b=5.5861 c=7.2909 alpha=90.00 beta=90.00 gamma=120.00
With the nearest neighbours (Å) after each atom.
Fractional coordinates of all 12 atoms:
Ce 0.3333 0.6667 0.0551  3 Ru 2.79, 1 Ce 2.84
Ce 0.3333 0.6667 0.4449  3 Ru 2.79, 1 Ce 2.84
Ce 0.6667 0.3333 0.5551  3 Ru 2.79, 1 Ce 2.84
Ce 0.6667 0.3333 0.9449  3 Ru 2.79, 1 Ce 2.84
B 0.0000 0.0000 0.0000  6 Ru 2.39
B 0.0000 0.0000 0.5000  6 Ru 2.39
Ru 0.1600 0.3200 0.7500  2 B 2.39
Ru 0.1600 0.8400 0.7500  2 B 2.39
Ru 0.3200 0.1600 0.2500  2 B 2.39
Ru 0.6800 0.8400 0.7500  2 B 2.39
Ru 0.8400 0.1600 0.2500  2 B 2.39
Ru 0.8400 0.6800 0.2500  2 B 2.39

The calculation puts the energy of formation at -20 kJ per mole of atoms. The calculation puts the total moment at 0.00 μB/cell. The calculation puts the distance to the lowest polymorph of the same formula at 0.57 eV/f.u.



Which formula does entry 2 have? Ce2BRu3